# LiEuIn4

A geometry-optimized LiEuIn4 structure (PBE, Alexandria).

Output
- Total DFT energy (no corrections): -4.10 eV/atom
- Theoretical density: 6.250 g/cm3
- V: 27.37 Å³ per atom

Cell and atoms, written as POSCAR:
```
LiEuIn4
1.0
0.000 4.347 4.347
4.347 0.000 4.347
4.347 4.347 0.000
Li Eu In
1 1 4
direct
0.000 0.000 0.000
0.750 0.750 0.750
0.375 0.375 0.375
0.375 0.375 0.876
0.375 0.876 0.375
0.876 0.375 0.375
```